Here is crystalline Ag2O at its relaxed geometry from OQMD via LeMat-Bulk. Energies are from PBE.

Output
Density in g/cm³: 3.59
SG: Fd-3m, No. 227
Electronic total energy in eV per atom: -3.49
E above lowest polymorph in meV per atom: 81

Lattice parameters (Å, degrees): 6.718 6.718 6.718 60.00 60.00 60.00
Sites, in units of the cell vectors:
Ag1 0.375 0.875 0.375
O1 0.500 0.500 0.500
Ag2 0.875 0.375 0.375
Ag3 0.375 0.375 0.875
O2 0.250 0.250 0.250
Ag4 0.375 0.375 0.375


Here is crystalline Ag2O at its relaxed geometry from OQMD via LeMat-Bulk. Energies are from PBE.

Output
Density in g/cm³: 7.99
SG: P2_1/m, No. 11
Electronic total energy in eV per atom: -3.57
E above lowest polymorph in meV per atom: 0

Lattice parameters (Å, degrees): 3.678 7.317 3.701 90.00 104.78 90.00
Sites, in units of the cell vectors:
Ag1 0.897 0.250 0.601
O1 0.311 0.250 0.186
O2 0.689 0.750 0.814
Ag2 0.500 0.500 0.000
Ag3 0.500 0.000 0.000
Ag4 0.103 0.750 0.399


Here is crystalline AgO at its relaxed geometry from OQMD via LeMat-Bulk. Energies are from PBE.

Output
Density in g/cm³: 7.40
SG: Imma, No. 74
Electronic total energy in eV per atom: -3.70

Lattice parameters (Å, degrees): 6.204 6.204 6.204 134.52 63.17 138.60
Sites, in units of the cell vectors:
O1 0.862 0.000 0.362
Ag1 0.500 0.000 0.500
O2 0.862 0.500 0.862
O3 0.138 0.500 0.138
Ag2 0.694 0.444 0.250
Ag3 0.000 0.000 0.000
O4 0.138 0.000 0.638
Ag4 0.306 0.556 0.750